Entry 1:
A plane-wave DFT calculation with GGA-PBE was carried out for a relaxed structure of Sr2AgIr.

Summary:
**Energy of formation**: 0.143 eV/atom
**Density**: 8.08 g/cm³

The structure in CIF format:
```
data_Sr2AgIr
_symmetry_space_group_name_H-M 'F -4 3 m'
_symmetry_Int_Tables_number 216
_symmetry_space_group_name_Hall 'F -4 2 3'
_cell_length_a 7.311
_cell_length_b 7.311
_cell_length_c 7.311
_cell_angle_alpha 90.00
_cell_angle_beta 90.00
_cell_angle_gamma 90.00
loop_
_atom_site_label
_atom_site_fract_x
_atom_site_fract_y
_atom_site_fract_z
_atom_site_occupancy
Sr1 0.000 0.000 0.000 1
Sr2 0.250 0.250 0.250 1
Ag1 0.000 0.000 0.500 1
Ir1 0.250 0.250 0.750 1
```

Entry 2:
A plane-wave DFT calculation with GGA-PBE was carried out for a relaxed structure of BaFe2Cl.

Summary:
**Uncorrected energy**: -4.406 eV/atom
**Density**: 5.30 g/cm³

The structure in CIF format:
```
data_BaFe2Cl
_symmetry_space_group_name_H-M 'R -3 m'
_symmetry_Int_Tables_number 166
_symmetry_space_group_name_Hall '-R 3 2"'
_cell_length_a 3.3263
_cell_length_b 3.3263
_cell_length_c 27.8965
_cell_angle_alpha 90.00
_cell_angle_beta 90.00
_cell_angle_gamma 120.00
loop_
_atom_site_label
_atom_site_fract_x
_atom_site_fract_y
_atom_site_fract_z
_atom_site_occupancy
Ba1 0.0000 0.0000 0.0000 1
Fe1 0.0000 0.0000 0.2329 1
Cl1 0.0000 0.0000 0.5000 1
```

Entry 3:
A plane-wave DFT calculation with GGA-PBE was carried out for a relaxed structure of TaFeS4.

Summary:
**Uncorrected energy**: -6.665 eV/atom
**Density**: 5.97 g/cm³

The structure in CIF format:
```
data_TaFeS4
_symmetry_space_group_name_H-M 'P 1 21/c 1'
_symmetry_Int_Tables_number 14
_cell_length_a 6.591
_cell_length_b 5.205
_cell_length_c 6.771
_cell_angle_alpha 90.00
_cell_angle_beta 119.01
_cell_angle_gamma 90.00
loop_
_symmetry_equiv_pos_as_xyz
'x,y,z'
'-x,-y,-z'
'-x,y+1/2,-z+1/2'
'x,-y+1/2,z+1/2'
loop_
_atom_site_label
_atom_site_fract_x
_atom_site_fract_y
_atom_site_fract_z
_atom_site_occupancy
Ta1 0.000 0.000 0.000 1
Fe1 0.500 0.000 0.000 1
S1 0.193 0.225 0.359 1
S2 0.335 0.716 0.151 1
```

Entry 4:
A plane-wave DFT calculation with GGA-PBE was carried out for a relaxed structure of CsUCdS4.

Summary:
**Uncorrected energy**: -5.210 eV/atom
**Density**: 4.60 g/cm³

The structure in CIF format:
```
data_CsUCdS4
_symmetry_space_group_name_H-M 'I m m a'
_symmetry_Int_Tables_number 74
_symmetry_space_group_name_Hall '-I 2b 2'
_cell_length_a 7.446
_cell_length_b 8.157
_cell_length_c 14.530
_cell_angle_alpha 90.00
_cell_angle_beta 90.00
_cell_angle_gamma 90.00
loop_
_atom_site_label
_atom_site_fract_x
_atom_site_fract_y
_atom_site_fract_z
_atom_site_occupancy
Cs1 0.000 0.250 0.165 1
U1 0.000 0.000 0.500 1
Cd1 0.250 0.250 0.750 1
S1 0.000 0.041 0.684 1
S2 0.220 0.250 0.504 1
```

Entry 5:
A plane-wave DFT calculation with GGA-PBE was carried out for a relaxed structure of Ac3TlSe4.

Summary:
**Uncorrected energy**: -5.214 eV/atom
**Density**: 7.81 g/cm³

The structure in CIF format:
```
data_Ac3TlSe4
_symmetry_space_group_name_H-M 'P m -3 m'
_symmetry_Int_Tables_number 221
_symmetry_space_group_name_Hall '-P 4 2 3'
_cell_length_a 6.346
_cell_length_b 6.346
_cell_length_c 6.346
_cell_angle_alpha 90.00
_cell_angle_beta 90.00
_cell_angle_gamma 90.00
loop_
_atom_site_label
_atom_site_fract_x
_atom_site_fract_y
_atom_site_fract_z
_atom_site_occupancy
Ac1 0.000 0.000 0.500 1
Tl1 0.500 0.500 0.500 1
Se1 0.000 0.000 0.000 1
Se2 0.000 0.500 0.500 1
```

Entry 6:
A plane-wave DFT calculation with GGA-PBE was carried out for a relaxed structure of ZrHg2N.

Summary:
**Uncorrected energy**: -4.152 eV/atom
**Density**: 9.66 g/cm³

The structure in CIF format:
```
data_ZrHg2N
_symmetry_space_group_name_H-M 'I -4 2 d'
_symmetry_Int_Tables_number 122
_symmetry_space_group_name_Hall 'I -4 2bw'
_cell_length_a 9.088
_cell_length_b 9.088
_cell_length_c 4.217
_cell_angle_alpha 90.00
_cell_angle_beta 90.00
_cell_angle_gamma 90.00
loop_
_atom_site_label
_atom_site_fract_x
_atom_site_fract_y
_atom_site_fract_z
_atom_site_occupancy
Zr1 0.000 0.000 0.000 1
Hg1 0.144 0.750 0.625 1
N1 0.000 0.000 0.500 1
```

Entry 7:
A plane-wave DFT calculation with GGA-PBE was carried out for a relaxed structure of Ta2InAs.

Summary:
**Energy of formation**: 0.501 eV/atom
**Density**: 11.87 g/cm³

The structure in CIF format:
```
data_Ta2InAs
_symmetry_space_group_name_H-M 'F -4 3 m'
_symmetry_Int_Tables_number 216
_symmetry_space_group_name_Hall 'F -4 2 3'
_cell_length_a 6.758
_cell_length_b 6.758
_cell_length_c 6.758
_cell_angle_alpha 90.00
_cell_angle_beta 90.00
_cell_angle_gamma 90.00
loop_
_atom_site_label
_atom_site_fract_x
_atom_site_fract_y
_atom_site_fract_z
_atom_site_occupancy
Ta1 0.000 0.000 0.000 1
Ta2 0.250 0.250 0.250 1
In1 0.000 0.000 0.500 1
As1 0.250 0.250 0.750 1
```

Entry 8:
A plane-wave DFT calculation with GGA-PBE was carried out for a relaxed structure of RbMg2Cd2.

Summary:
**Energy of formation**: 0.003 eV/atom
**Density**: 4.32 g/cm³

The structure in CIF format:
```
data_RbMg2Cd2
_symmetry_space_group_name_H-M 'P 4/m b m'
_symmetry_Int_Tables_number 127
_symmetry_space_group_name_Hall '-P 4 2ab'
_cell_length_a 9.382
_cell_length_b 9.382
_cell_length_c 3.133
_cell_angle_alpha 90.00
_cell_angle_beta 90.00
_cell_angle_gamma 90.00
loop_
_atom_site_label
_atom_site_fract_x
_atom_site_fract_y
_atom_site_fract_z
_atom_site_occupancy
Rb1 0.000 0.000 0.000 1
Mg1 0.126 0.374 0.000 1
Cd1 0.164 0.664 0.500 1
```

Entry 9:
A plane-wave DFT calculation with GGA-PBE was carried out for a relaxed structure of TcTe4As.

Summary:
**Uncorrected energy**: -3.420 eV/atom
**Density**: 6.67 g/cm³

The structure in CIF format:
```
data_TcTe4As
_symmetry_space_group_name_H-M 'F -4 3 m'
_symmetry_Int_Tables_number 216
_symmetry_space_group_name_Hall 'F -4 2 3'
_cell_length_a 8.794
_cell_length_b 8.794
_cell_length_c 8.794
_cell_angle_alpha 90.00
_cell_angle_beta 90.00
_cell_angle_gamma 90.00
loop_
_atom_site_label
_atom_site_fract_x
_atom_site_fract_y
_atom_site_fract_z
_atom_site_occupancy
Tc1 0.000 0.000 0.000 1
Te1 0.125 0.125 0.625 1
As1 0.250 0.250 0.250 1
```